Below is a geometry-optimized PmMg2Cd structure, with properties calculated at the PBE-GGA level.

Geometry as CIF:
```
data_PmMg2Cd
_chemical_formula_sum 'Pm1 Mg2 Cd1'
_cell_length_a 3.437
_cell_length_b 3.437
_cell_length_c 8.520
_cell_angle_alpha 90.00
_cell_angle_beta 90.00
_cell_angle_gamma 90.00
_space_group_name_H-M_alt 'P 4/m m m'
_space_group_IT_number 123
_space_group_name_Hall '-P 4 2'
loop_
_atom_site_label
_atom_site_fract_x
_atom_site_fract_y
_atom_site_fract_z
Pm1 0.000 0.000 0.000
Mg1 0.500 0.500 0.285
Cd1 0.000 0.000 0.500
```

Computed properties:
**E above lowest polymorph**: 114 meV per atom
**Final energy**: -2.3287 eV per atom
**DOS(E_F)**: 0.819 states/eV/atom

***

Below is a geometry-optimized TaTi3Cd structure, with properties calculated at the PBE-GGA level.

Geometry as CIF:
```
data_TaTi3Cd
_chemical_formula_sum 'Ta1 Ti3 Cd1'
_cell_length_a 4.844
_cell_length_b 4.844
_cell_length_c 4.844
_cell_angle_alpha 90.00
_cell_angle_beta 90.00
_cell_angle_gamma 90.00
_space_group_name_H-M_alt 'P m -3 m'
_space_group_IT_number 221
_space_group_name_Hall '-P 4 2 3'
loop_
_atom_site_label
_atom_site_fract_x
_atom_site_fract_y
_atom_site_fract_z
Ta1 0.000 0.000 0.000
Ti1 0.000 0.000 0.500
Cd1 0.500 0.500 0.500
```

Computed properties:
**E above lowest polymorph**: 914 meV per atom
**Final energy**: -6.3468 eV per atom
**DOS(E_F)**: 1.479 states/eV/atom

***

Below is a geometry-optimized Mg2ZnSnN structure, with properties calculated at the PBE-GGA level.

Geometry as CIF:
```
data_Mg2ZnSnN
_chemical_formula_sum 'Mg2 Zn1 Sn1 N1'
_cell_length_a 4.243
_cell_length_b 4.243
_cell_length_c 4.624
_cell_angle_alpha 90.00
_cell_angle_beta 90.00
_cell_angle_gamma 90.00
_space_group_name_H-M_alt 'P 4/m m m'
_space_group_IT_number 123
_space_group_name_Hall '-P 4 2'
loop_
_atom_site_label
_atom_site_fract_x
_atom_site_fract_y
_atom_site_fract_z
Mg1 0.000 0.500 0.000
Zn1 0.000 0.000 0.500
Sn1 0.500 0.500 0.500
N1 0.000 0.000 0.000
```

Computed properties:
**Formation energy from raw total energies**: -183 meV/atom
**Final energy**: -3.5413 eV per atom
**DOS(E_F)**: 0.331 states/eV/atom

***

Below is a geometry-optimized LiTlFeBr5 structure, with properties calculated at the PBE-GGA level.

Geometry as CIF:
```
data_LiTlFeBr5
_chemical_formula_sum 'Li4 Tl4 Fe4 Br20'
_cell_length_a 9.778
_cell_length_b 12.494
_cell_length_c 9.370
_cell_angle_alpha 90.00
_cell_angle_beta 110.85
_cell_angle_gamma 90.00
_space_group_name_H-M_alt 'C 1 2/c 1'
_space_group_IT_number 15
loop_
_space_group_symop_operation_xyz
'x,y,z'
'-x,-y,-z'
'-x,y,-z+1/2'
'x,-y,z+1/2'
'x+1/2,y+1/2,z'
'-x+1/2,-y+1/2,-z'
'-x+1/2,y+1/2,-z+1/2'
'x+1/2,-y+1/2,z+1/2'
loop_
_atom_site_label
_atom_site_fract_x
_atom_site_fract_y
_atom_site_fract_z
Li1 0.000 0.000 0.000
Tl1 0.000 0.317 0.250
Fe1 0.000 0.327 0.750
Br1 0.000 0.067 0.250
Br2 0.121 0.217 0.625
Br3 0.168 0.435 0.936
```

Computed properties:
**Formation energy from raw total energies**: -834 meV/atom
**Final energy**: -3.4720 eV per atom

***

Below is a geometry-optimized KScPb2 structure, with properties calculated at the PBE-GGA level.

Geometry as CIF:
```
data_KScPb2
_chemical_formula_sum 'K4 Sc4 Pb8'
_cell_length_a 7.911
_cell_length_b 7.911
_cell_length_c 7.911
_cell_angle_alpha 90.00
_cell_angle_beta 90.00
_cell_angle_gamma 90.00
_space_group_name_H-M_alt 'F -4 3 m'
_space_group_IT_number 216
_space_group_name_Hall 'F -4 2 3'
loop_
_atom_site_label
_atom_site_fract_x
_atom_site_fract_y
_atom_site_fract_z
K1 0.000 0.000 0.000
Sc1 0.250 0.250 0.250
Pb1 0.000 0.000 0.500
Pb2 0.250 0.250 0.750
```

Computed properties:
**E above lowest polymorph**: 492 meV per atom
**Final energy**: -3.5035 eV per atom
**DOS(E_F)**: 1.185 states/eV/atom

***

Below is a geometry-optimized La5Zn2Cu5 structure, with properties calculated at the PBE-GGA level.

Geometry as CIF:
```
data_La5Zn2Cu5
_chemical_formula_sum 'La10 Zn4 Cu10'
_cell_length_a 15.973
_cell_length_b 4.216
_cell_length_c 11.513
_cell_angle_alpha 90.00
_cell_angle_beta 132.73
_cell_angle_gamma 90.00
_space_group_name_H-M_alt 'C 1 2/m 1'
_space_group_IT_number 12
loop_
_space_group_symop_operation_xyz
'x,y,z'
'-x,-y,-z'
'-x,y,-z'
'x,-y,z'
'x+1/2,y+1/2,z'
'-x+1/2,-y+1/2,-z'
'-x+1/2,y+1/2,-z'
'x+1/2,-y+1/2,z'
loop_
_atom_site_label
_atom_site_fract_x
_atom_site_fract_y
_atom_site_fract_z
La1 0.000 0.000 0.000
La2 0.091 0.000 0.407
La3 0.201 0.000 0.817
Zn1 0.151 0.500 0.272
Cu1 0.000 0.500 0.500
Cu2 0.062 0.500 0.848
Cu3 0.236 0.500 0.658
```

Computed properties:
**Final energy**: -4.1385 eV per atom
**DOS(E_F)**: 0.839 states/eV/atom

***

Below is a geometry-optimized PuUZnGa structure, with properties calculated at the PBE-GGA level.

Geometry as CIF:
```
data_PuUZnGa
_chemical_formula_sum 'Pu4 U4 Zn4 Ga4'
_cell_length_a 7.060
_cell_length_b 7.060
_cell_length_c 7.060
_cell_angle_alpha 90.00
_cell_angle_beta 90.00
_cell_angle_gamma 90.00
_space_group_name_H-M_alt 'F -4 3 m'
_space_group_IT_number 216
_space_group_name_Hall 'F -4 2 3'
loop_
_atom_site_label
_atom_site_fract_x
_atom_site_fract_y
_atom_site_fract_z
Pu1 0.000 0.000 0.000
U1 0.000 0.000 0.500
Zn1 0.250 0.250 0.750
Ga1 0.250 0.250 0.250
```

Computed properties:
**Final energy**: -7.3530 eV per atom
**DOS(E_F)**: 3.880 states/eV/atom

***

Below is a geometry-optimized Pr3CI3 structure, with properties calculated at the PBE-GGA level.

Geometry as CIF:
```
data_Pr3CI3
_chemical_formula_sum 'Pr12 C4 I12'
_cell_length_a 9.284
_cell_length_b 13.063
_cell_length_c 8.183
_cell_angle_alpha 90.00
_cell_angle_beta 105.32
_cell_angle_gamma 90.00
_space_group_name_H-M_alt 'C 1 2/m 1'
_space_group_IT_number 12
loop_
_space_group_symop_operation_xyz
'x,y,z'
'-x,-y,-z'
'-x,y,-z'
'x,-y,z'
'x+1/2,y+1/2,z'
'-x+1/2,-y+1/2,-z'
'-x+1/2,y+1/2,-z'
'x+1/2,-y+1/2,z'
loop_
_atom_site_label
_atom_site_fract_x
_atom_site_fract_y
_atom_site_fract_z
Pr1 0.086 0.000 0.329
Pr2 0.208 0.353 0.266
C1 0.165 0.000 0.632
I1 0.000 0.170 0.000
I2 0.000 0.269 0.500
I3 0.106 0.500 0.836
```

Computed properties:
**E above lowest polymorph**: 249 meV per atom
**Formation energy from raw total energies**: -758 meV/atom
**Final energy**: -4.7883 eV per atom
**DOS(E_F)**: 0.725 states/eV/atom

***

Below is a geometry-optimized La5YEr6 structure, with properties calculated at the PBE-GGA level.

Geometry as CIF:
```
data_La5YEr6
_chemical_formula_sum 'La10 Y2 Er12'
_cell_length_a 17.716
_cell_length_b 7.345
_cell_length_c 6.156
_cell_angle_alpha 90.00
_cell_angle_beta 92.67
_cell_angle_gamma 90.00
_space_group_name_H-M_alt 'C 1 2/m 1'
_space_group_IT_number 12
loop_
_space_group_symop_operation_xyz
'x,y,z'
'-x,-y,-z'
'-x,y,-z'
'x,-y,z'
'x+1/2,y+1/2,z'
'-x+1/2,-y+1/2,-z'
'-x+1/2,y+1/2,-z'
'x+1/2,-y+1/2,z'
loop_
_atom_site_label
_atom_site_fract_x
_atom_site_fract_y
_atom_site_fract_z
La1 0.000 0.000 0.000
La2 0.165 0.500 0.667
La3 0.167 0.000 0.667
Y1 0.000 0.500 0.000
Er1 0.000 0.251 0.500
Er2 0.166 0.250 0.168
```

Computed properties:
**Final energy**: -4.8444 eV per atom
**DOS(E_F)**: 1.516 states/eV/atom

***

Below is a geometry-optimized Zr2CrSb structure, with properties calculated at the PBE-GGA level.

Geometry as CIF:
```
data_Zr2CrSb
_chemical_formula_sum 'Zr6 Cr3 Sb3'
_cell_length_a 3.2963
_cell_length_b 3.2963
_cell_length_c 26.5452
_cell_angle_alpha 90.00
_cell_angle_beta 90.00
_cell_angle_gamma 120.00
_space_group_name_H-M_alt 'R 3 m'
_space_group_IT_number 160
_space_group_name_Hall 'R 3 -2"'
loop_
_atom_site_label
_atom_site_fract_x
_atom_site_fract_y
_atom_site_fract_z
Zr1 0.0000 0.0000 0.0000
Zr2 0.0000 0.0000 0.2385
Cr1 0.0000 0.0000 0.7429
Sb1 0.0000 0.0000 0.4792
```

Computed properties:
**Formation energy from raw total energies**: 204 meV/atom
**Final energy**: -7.5061 eV per atom
**DOS(E_F)**: 1.187 states/eV/atom

***

Below is a geometry-optimized FeB3Ru structure, with properties calculated at the PBE-GGA level.

Geometry as CIF:
```
data_FeB3Ru
_chemical_formula_sum 'Fe1 B3 Ru1'
_cell_length_a 3.674
_cell_length_b 3.674
_cell_length_c 3.674
_cell_angle_alpha 90.00
_cell_angle_beta 90.00
_cell_angle_gamma 90.00
_space_group_name_H-M_alt 'P m -3 m'
_space_group_IT_number 221
_space_group_name_Hall '-P 4 2 3'
loop_
_atom_site_label
_atom_site_fract_x
_atom_site_fract_y
_atom_site_fract_z
Fe1 0.000 0.000 0.000
B1 0.000 0.000 0.500
Ru1 0.500 0.500 0.500
```

Computed properties:
**E above lowest polymorph**: 0 meV per atom
**Final energy**: -6.6336 eV per atom
**DOS(E_F)**: 0.866 states/eV/atom

***

Below is a geometry-optimized LiSi3Cl structure, with properties calculated at the PBE-GGA level.

Geometry as CIF:
```
data_LiSi3Cl
_chemical_formula_sum 'Li1 Si3 Cl1'
_cell_length_a 4.580
_cell_length_b 4.580
_cell_length_c 4.580
_cell_angle_alpha 90.00
_cell_angle_beta 90.00
_cell_angle_gamma 90.00
_space_group_name_H-M_alt 'P m -3 m'
_space_group_IT_number 221
_space_group_name_Hall '-P 4 2 3'
loop_
_atom_site_label
_atom_site_fract_x
_atom_site_fract_y
_atom_site_fract_z
Li1 0.000 0.000 0.000
Si1 0.000 0.000 0.500
Cl1 0.500 0.500 0.500
```

Computed properties:
**E above lowest polymorph**: 0 meV per atom
**Formation energy from raw total energies**: 865 meV/atom
**Final energy**: -3.1412 eV per atom
**DOS(E_F)**: 1.994 states/eV/atom